Entry 1:
Computed, not measured: an optimized crystal structure of AgB2H6 at the PBE level of DFT.

Calculated values
- excess energy over the best structure of this formula in the dataset (eV per atom) = 0.000
- magnetic moment (μB per formula unit) = 0.00
- calculated volume (Å³ per atom) = 10.9
- energy (Ha/atom) = -0.143
- SG = No. 2

```
AgB2H6
1.0
8.621 -3.269 3.623
0.159 1.265 3.062
-0.135 -0.760 6.703
H B Ag
6 2 1
Cartesian
5.772 -1.457 9.139
4.436 -0.592 5.934
2.872 -1.307 4.250
5.786 -1.686 4.239
2.858 -1.078 9.149
4.209 -2.172 7.454
5.116 -1.874 10.043
3.528 -0.890 3.345
-0.135 -0.760 6.703
```


Entry 2:
Computed, not measured: an optimized crystal structure of AgB3H at the PBE level of DFT.

Calculated values
- excess energy over the best structure of this formula in the dataset (eV per atom) = 0.605
- magnetic moment (μB per formula unit) = 0.00
- calculated volume (Å³ per atom) = 14.7
- energy (Ha/atom) = -0.104
- SG = No. 221

```
AgB3H
1.0
4.184 0.000 0.000
0.000 4.184 0.000
0.000 0.000 4.184
B H Ag
3 1 1
Cartesian
2.092 0.000 0.000
0.000 0.000 2.092
0.000 2.092 0.000
2.092 2.092 2.092
0.000 0.000 0.000
```


Entry 3:
Computed, not measured: an optimized crystal structure of AgB3H at the PBE level of DFT.

Calculated values
- excess energy over the best structure of this formula in the dataset (eV per atom) = 0.000
- magnetic moment (μB per formula unit) = 0.00
- calculated volume (Å³ per atom) = 8.6
- energy (Ha/atom) = -0.126
- SG = No. 221

```
AgB3H
1.0
3.510 0.000 0.000
0.000 3.510 0.000
0.000 0.000 3.510
B H Ag
3 1 1
Cartesian
0.000 0.000 1.755
1.755 0.000 0.000
0.000 1.755 0.000
0.000 0.000 0.000
1.755 1.755 1.755
```


Entry 4:
Computed, not measured: an optimized crystal structure of AgB2H at the PBE level of DFT.

Calculated values
- excess energy over the best structure of this formula in the dataset (eV per atom) = 0.000
- magnetic moment (μB per formula unit) = 0.00
- calculated volume (Å³ per atom) = 9.1
- energy (Ha/atom) = -0.151
- SG = No. 141

```
AgB2H
1.0
-0.996 1.444 2.905
-0.375 -3.070 1.398
5.294 -0.647 4.119
B Ag H
4 2 2
Cartesian
0.716 -1.539 2.993
0.903 -0.004 2.294
2.864 -1.140 6.505
3.362 -1.862 5.052
1.806 -0.007 4.588
0.000 0.000 0.000
-0.685 -0.813 2.151
2.117 -2.265 3.834
```


Entry 5:
Computed, not measured: an optimized crystal structure of KAgB2H8 at the PBE level of DFT.

Calculated values
- magnetic moment (μB per formula unit) = 0.00
- calculated volume (Å³ per atom) = 10.6
- energy (Ha/atom) = -0.141
- SG = No. 148

```
KAgB2H8
1.0
4.633 0.000 0.000
2.316 4.012 0.000
2.316 1.337 6.844
H Ag B K
8 1 2 1
Cartesian
5.787 4.149 5.606
2.316 1.337 2.878
3.478 1.201 1.239
7.649 4.950 5.606
1.617 0.399 1.239
7.412 2.937 5.606
1.854 2.412 1.239
6.949 4.012 3.966
0.000 0.000 0.000
6.949 4.012 5.191
2.316 1.337 1.653
4.633 2.675 3.422
```


Entry 6:
Computed, not measured: an optimized crystal structure of Ni2AgBH at the PBE level of DFT.

Calculated values
- magnetic moment (μB per formula unit) = 0.00
- calculated volume (Å³ per atom) = 9.7
- energy (Ha/atom) = -0.160
- SG = No. 123

```
Ni2AgBH
1.0
3.543 0.000 0.000
0.000 3.878 0.000
0.000 0.000 3.543
Ni H Ag B
2 1 1 1
Cartesian
0.000 0.000 1.772
1.772 0.000 0.000
0.000 0.000 0.000
0.000 1.939 0.000
1.772 1.939 1.772
```


Please write out number 1 again, unchanged.
Computed, not measured: an optimized crystal structure of AgB2H6 at the PBE level of DFT.

Calculated values
- excess energy over the best structure of this formula in the dataset (eV per atom) = 0.000
- magnetic moment (μB per formula unit) = 0.00
- calculated volume (Å³ per atom) = 10.9
- energy (Ha/atom) = -0.143
- SG = No. 2

```
AgB2H6
1.0
8.621 -3.269 3.623
0.159 1.265 3.062
-0.135 -0.760 6.703
H B Ag
6 2 1
Cartesian
5.772 -1.457 9.139
4.436 -0.592 5.934
2.872 -1.307 4.250
5.786 -1.686 4.239
2.858 -1.078 9.149
4.209 -2.172 7.454
5.116 -1.874 10.043
3.528 -0.890 3.345
-0.135 -0.760 6.703
```


Question: Look up the energy of the second one.
Answer: -0.104 Ha/atom


Repeat the fifth record exactly.
Computed, not measured: an optimized crystal structure of KAgB2H8 at the PBE level of DFT.

Calculated values
- magnetic moment (μB per formula unit) = 0.00
- calculated volume (Å³ per atom) = 10.6
- energy (Ha/atom) = -0.141
- SG = No. 148

```
KAgB2H8
1.0
4.633 0.000 0.000
2.316 4.012 0.000
2.316 1.337 6.844
H Ag B K
8 1 2 1
Cartesian
5.787 4.149 5.606
2.316 1.337 2.878
3.478 1.201 1.239
7.649 4.950 5.606
1.617 0.399 1.239
7.412 2.937 5.606
1.854 2.412 1.239
6.949 4.012 3.966
0.000 0.000 0.000
6.949 4.012 5.191
2.316 1.337 1.653
4.633 2.675 3.422
```